The following is a SCAN calculation of a PBEsol-optimized structure of ScTaMn2, from the Alexandria database.

CIF file:
```
data_ScTaMn2
_chemical_formula_sum 'Sc3 Ta3 Mn6'
_cell_length_a 2.9719
_cell_length_b 2.9719
_cell_length_c 23.4274
_cell_angle_alpha 90.00
_cell_angle_beta 90.00
_cell_angle_gamma 120.00
_space_group_name_H-M_alt 'R -3 m'
_space_group_IT_number 166
_space_group_name_Hall '-R 3 2"'
loop_
_atom_site_label
_atom_site_type_symbol
_atom_site_fract_x
_atom_site_fract_y
_atom_site_fract_z
Sc1 Sc 0.0000 0.0000 0.0000
Ta1 Ta 0.0000 0.0000 0.5000
Mn1 Mn 0.0000 0.0000 0.2453
```

Output
E: -29.036 eV per atom
E_form: 0.297 eV per atom
Total magnetization: 3.9 μB/f.u.
N(E_F): 3.15 states/eV/f.u.